Density functional theory data (PBE) for crystalline CaScCuS3 at its relaxed geometry.

The structure in CIF format:
```
data_CaScCuS3
_chemical_formula_sum 'Ca2 Sc2 Cu2 S6'
_space_group_name_H-M_alt 'P 1'
_space_group_IT_number 1
_cell_length_a 3.752
_cell_length_b 7.715
_cell_length_c 8.413
_cell_angle_alpha 104.07
_cell_angle_beta 90.00
_cell_angle_gamma 90.00
loop_
_space_group_symop_operation_xyz
'x,y,z'
loop_
_atom_site_label
_atom_site_fract_x
_atom_site_fract_y
_atom_site_fract_z
_atom_site_occupancy
Ca1 0.250 0.195 0.242 1
Ca2 0.750 0.805 0.758 1
Sc1 0.250 0.674 0.166 1
Sc2 0.750 0.326 0.834 1
Cu1 0.250 0.089 0.589 1
Cu2 0.750 0.911 0.411 1
S1 0.750 0.899 0.135 1
S2 0.250 0.101 0.865 1
S3 0.250 0.762 0.482 1
S4 0.750 0.238 0.518 1
S5 0.750 0.437 0.157 1
S6 0.250 0.563 0.843 1
```

Calculated values
raw formation energy: -1.576 eV per atom
symmetry: P2_1/m, No. 11
mass density: 3441 kg/m³
E_tot: -68.53 eV/cell

Density functional theory data (PBE) for crystalline Ca3Sc3CuS8 at its relaxed geometry.

The structure in CIF format:
```
data_Ca3Sc3CuS8
_chemical_formula_sum 'Ca3 Sc3 Cu1 S8'
_space_group_name_H-M_alt 'P 1'
_space_group_IT_number 1
_cell_length_a 7.562
_cell_length_b 7.559
_cell_length_c 7.729
_cell_angle_alpha 119.26
_cell_angle_beta 90.00
_cell_angle_gamma 120.01
loop_
_space_group_symop_operation_xyz
'x,y,z'
loop_
_atom_site_label
_atom_site_fract_x
_atom_site_fract_y
_atom_site_fract_z
_atom_site_occupancy
Ca1 0.000 0.000 0.000 1
Ca2 0.000 0.500 0.000 1
Ca3 0.500 0.500 0.000 1
Sc1 0.500 0.000 0.500 1
Sc2 0.500 0.500 0.500 1
Sc3 0.000 0.500 0.500 1
Cu1 0.000 0.000 0.500 1
S1 0.257 0.513 0.270 1
S2 0.743 0.487 0.730 1
S3 0.758 0.516 0.278 1
S4 0.242 0.484 0.722 1
S5 0.757 0.020 0.278 1
S6 0.243 0.980 0.722 1
S7 0.263 0.020 0.278 1
S8 0.737 0.980 0.722 1
```

Calculated values
raw formation energy: -1.718 eV per atom
symmetry: R-3m, No. 166
mass density: 3025 kg/m³
E_tot: -87.88 eV/cell

Density functional theory data (PBE) for crystalline CaCu2SiS4 at its relaxed geometry.

The structure in CIF format:
```
data_CaCu2SiS4
_chemical_formula_sum 'Ca1 Cu2 Si1 S4'
_space_group_name_H-M_alt 'P 1'
_space_group_IT_number 1
_cell_length_a 5.861
_cell_length_b 5.861
_cell_length_c 6.239
_cell_angle_alpha 117.95
_cell_angle_beta 117.95
_cell_angle_gamma 90.13
loop_
_space_group_symop_operation_xyz
'x,y,z'
loop_
_atom_site_label
_atom_site_fract_x
_atom_site_fract_y
_atom_site_fract_z
_atom_site_occupancy
Ca1 0.001 0.001 0.003 1
Cu1 0.750 0.250 0.500 1
Cu2 0.250 0.750 0.500 1
Si1 0.500 0.500 0.000 1
S1 0.570 0.570 0.725 1
S2 0.430 0.844 0.274 1
S3 0.844 0.430 0.274 1
S4 0.155 0.155 0.725 1
```

Calculated values
raw formation energy: -0.857 eV per atom
symmetry: Fmm2, No. 42
mass density: 3350 kg/m³
E_tot: -38.98 eV/cell

Density functional theory data (PBE) for crystalline CaTaCu2S at its relaxed geometry.

The structure in CIF format:
```
data_CaTaCu2S
_chemical_formula_sum 'Ca1 Ta1 Cu2 S1'
_space_group_name_H-M_alt 'P 1'
_space_group_IT_number 1
_cell_length_a 4.574
_cell_length_b 4.627
_cell_length_c 4.574
_cell_angle_alpha 90.00
_cell_angle_beta 90.00
_cell_angle_gamma 90.00
loop_
_space_group_symop_operation_xyz
'x,y,z'
loop_
_atom_site_label
_atom_site_fract_x
_atom_site_fract_y
_atom_site_fract_z
_atom_site_occupancy
Ca1 0.500 0.500 0.500 1
S1 0.000 0.000 0.000 1
Cu1 0.000 0.000 0.500 1
Cu2 0.500 0.000 0.000 1
Ta1 0.000 0.500 0.000 1
```

Calculated values
raw formation energy: 0.304 eV per atom
symmetry: P4/mmm, No. 123
mass density: 6521 kg/m³
E_tot: -24.66 eV/cell

Density functional theory data (PBE) for crystalline Ca2TaCuS at its relaxed geometry.

The structure in CIF format:
```
data_Ca2TaCuS
_chemical_formula_sum 'Ca2 Ta1 Cu1 S1'
_space_group_name_H-M_alt 'P 1'
_space_group_IT_number 1
_cell_length_a 5.386
_cell_length_b 4.368
_cell_length_c 5.386
_cell_angle_alpha 90.00
_cell_angle_beta 90.00
_cell_angle_gamma 90.00
loop_
_space_group_symop_operation_xyz
'x,y,z'
loop_
_atom_site_label
_atom_site_fract_x
_atom_site_fract_y
_atom_site_fract_z
_atom_site_occupancy
Ca1 0.000 0.000 0.500 1
Ca2 0.500 0.000 0.000 1
S1 0.000 0.000 0.000 1
Cu1 0.000 0.500 0.000 1
Ta1 0.500 0.500 0.500 1
```

Calculated values
raw formation energy: 0.325 eV per atom
symmetry: P4/mmm, No. 123
mass density: 4675 kg/m³
E_tot: -22.46 eV/cell

Density functional theory data (PBE) for crystalline Ca3Tb3CuS8 at its relaxed geometry.

The structure in CIF format:
```
data_Ca3Tb3CuS8
_chemical_formula_sum 'Ca3 Tb3 Cu1 S8'
_space_group_name_H-M_alt 'P 1'
_space_group_IT_number 1
_cell_length_a 7.867
_cell_length_b 7.864
_cell_length_c 7.949
_cell_angle_alpha 119.65
_cell_angle_beta 90.00
_cell_angle_gamma 120.01
loop_
_space_group_symop_operation_xyz
'x,y,z'
loop_
_atom_site_label
_atom_site_fract_x
_atom_site_fract_y
_atom_site_fract_z
_atom_site_occupancy
Ca1 0.000 0.000 0.000 1
Ca2 0.000 0.500 0.000 1
Ca3 0.500 0.500 0.000 1
Tb1 0.500 0.000 0.500 1
Tb2 0.500 0.500 0.500 1
Tb3 0.000 0.500 0.500 1
Cu1 0.000 0.000 0.500 1
S1 0.252 0.504 0.256 1
S2 0.748 0.496 0.744 1
S3 0.760 0.520 0.269 1
S4 0.240 0.480 0.731 1
S5 0.759 0.008 0.268 1
S6 0.241 0.992 0.732 1
S7 0.249 0.008 0.268 1
S8 0.751 0.992 0.732 1
```

Calculated values
raw formation energy: -1.798 eV per atom
symmetry: C2/m, No. 12
mass density: 4357 kg/m³
E_tot: -83.98 eV/cell

Density functional theory data (PBE) for crystalline CaTbCu2S4 at its relaxed geometry.

The structure in CIF format:
```
data_CaTbCu2S4
_chemical_formula_sum 'Ca1 Tb1 Cu2 S4'
_space_group_name_H-M_alt 'P 1'
_space_group_IT_number 1
_cell_length_a 6.591
_cell_length_b 5.957
_cell_length_c 5.957
_cell_angle_alpha 67.18
_cell_angle_beta 56.41
_cell_angle_gamma 56.41
loop_
_space_group_symop_operation_xyz
'x,y,z'
loop_
_atom_site_label
_atom_site_fract_x
_atom_site_fract_y
_atom_site_fract_z
_atom_site_occupancy
Ca1 0.500 0.500 0.500 1
Tb1 0.000 0.000 0.000 1
Cu1 0.250 0.250 0.250 1
Cu2 0.750 0.750 0.750 1
S1 0.460 0.990 0.540 1
S2 0.990 0.010 0.460 1
S3 0.010 0.540 0.990 1
S4 0.540 0.460 0.010 1
```

Calculated values
raw formation energy: -1.128 eV per atom
symmetry: I-42m, No. 121
mass density: 4682 kg/m³
E_tot: -40.36 eV/cell

Density functional theory data (PBE) for crystalline Ca2TbCu2S4 at its relaxed geometry.

The structure in CIF format:
```
data_Ca2TbCu2S4
_chemical_formula_sum 'Ca2 Tb1 Cu2 S4'
_space_group_name_H-M_alt 'P 1'
_space_group_IT_number 1
_cell_length_a 3.745
_cell_length_b 7.144
_cell_length_c 7.391
_cell_angle_alpha 111.64
_cell_angle_beta 104.67
_cell_angle_gamma 90.00
loop_
_space_group_symop_operation_xyz
'x,y,z'
loop_
_atom_site_label
_atom_site_fract_x
_atom_site_fract_y
_atom_site_fract_z
_atom_site_occupancy
Ca1 0.134 0.580 0.269 1
Ca2 0.866 0.420 0.731 1
Tb1 0.000 0.000 0.000 1
Cu1 0.687 0.023 0.373 1
Cu2 0.313 0.977 0.627 1
S1 0.204 0.242 0.408 1
S2 0.796 0.758 0.592 1
S3 0.532 0.744 0.064 1
S4 0.468 0.256 0.936 1
```

Calculated values
raw formation energy: -1.337 eV per atom
symmetry: C2/m, No. 12
mass density: 4643 kg/m³
E_tot: -45.37 eV/cell

Density functional theory data (PBE) for crystalline CaThCuS4 at its relaxed geometry.

The structure in CIF format:
```
data_CaThCuS4
_chemical_formula_sum 'Ca2 Th2 Cu2 S8'
_space_group_name_H-M_alt 'P 1'
_space_group_IT_number 1
_cell_length_a 6.793
_cell_length_b 5.672
_cell_length_c 8.086
_cell_angle_alpha 90.00
_cell_angle_beta 107.27
_cell_angle_gamma 90.00
loop_
_space_group_symop_operation_xyz
'x,y,z'
loop_
_atom_site_label
_atom_site_fract_x
_atom_site_fract_y
_atom_site_fract_z
_atom_site_occupancy
Ca1 0.722 0.750 0.937 1
Ca2 0.278 0.250 0.063 1
Th1 0.738 0.750 0.435 1
Th2 0.262 0.250 0.565 1
Cu1 0.245 0.750 0.310 1
Cu2 0.755 0.250 0.690 1
S1 0.016 0.513 0.744 1
S2 0.984 0.013 0.256 1
S3 0.984 0.487 0.256 1
S4 0.016 0.987 0.744 1
S5 0.435 0.750 0.121 1
S6 0.565 0.250 0.879 1
S7 0.424 0.750 0.599 1
S8 0.576 0.250 0.401 1
```

Calculated values
raw formation energy: -1.465 eV per atom
symmetry: P2_1/m, No. 11
mass density: 5178 kg/m³
E_tot: -80.56 eV/cell

Density functional theory data (PBE) for crystalline Ca3Tm3CuS8 at its relaxed geometry.

The structure in CIF format:
```
data_Ca3Tm3CuS8
_chemical_formula_sum 'Ca3 Tm3 Cu1 S8'
_space_group_name_H-M_alt 'P 1'
_space_group_IT_number 1
_cell_length_a 7.769
_cell_length_b 7.766
_cell_length_c 7.883
_cell_angle_alpha 119.51
_cell_angle_beta 90.00
_cell_angle_gamma 120.01
loop_
_space_group_symop_operation_xyz
'x,y,z'
loop_
_atom_site_label
_atom_site_fract_x
_atom_site_fract_y
_atom_site_fract_z
_atom_site_occupancy
Ca1 0.000 0.000 0.000 1
Ca2 0.000 0.500 0.000 1
Ca3 0.500 0.500 0.000 1
Tm1 0.500 0.000 0.500 1
Tm2 0.500 0.500 0.500 1
Tm3 0.000 0.500 0.500 1
Cu1 0.000 0.000 0.500 1
S1 0.254 0.507 0.261 1
S2 0.746 0.493 0.739 1
S3 0.759 0.517 0.271 1
S4 0.241 0.483 0.729 1
S5 0.758 0.012 0.270 1
S6 0.242 0.988 0.730 1
S7 0.254 0.012 0.270 1
S8 0.746 0.988 0.730 1
```

Calculated values
raw formation energy: -1.802 eV per atom
symmetry: R-3m, No. 166
mass density: 4643 kg/m³
E_tot: -83.57 eV/cell

Density functional theory data (PBE) for crystalline CaTmCu2S4 at its relaxed geometry.

The structure in CIF format:
```
data_CaTmCu2S4
_chemical_formula_sum 'Ca1 Tm1 Cu2 S4'
_space_group_name_H-M_alt 'P 1'
_space_group_IT_number 1
_cell_length_a 6.576
_cell_length_b 5.950
_cell_length_c 5.950
_cell_angle_alpha 67.08
_cell_angle_beta 56.46
_cell_angle_gamma 56.46
loop_
_space_group_symop_operation_xyz
'x,y,z'
loop_
_atom_site_label
_atom_site_fract_x
_atom_site_fract_y
_atom_site_fract_z
_atom_site_occupancy
Ca1 0.500 0.500 0.500 1
Tm1 0.000 0.000 0.000 1
Cu1 0.250 0.250 0.250 1
Cu2 0.750 0.750 0.750 1
S1 0.444 0.998 0.556 1
S2 0.998 0.002 0.444 1
S3 0.002 0.556 0.998 1
S4 0.556 0.444 0.002 1
```

Calculated values
raw formation energy: -1.113 eV per atom
symmetry: I-42m, No. 121
mass density: 4803 kg/m³
E_tot: -40.08 eV/cell

Density functional theory data (PBE) for crystalline Ca2TmCu2S4 at its relaxed geometry.

The structure in CIF format:
```
data_Ca2TmCu2S4
_chemical_formula_sum 'Ca2 Tm1 Cu2 S4'
_space_group_name_H-M_alt 'P 1'
_space_group_IT_number 1
_cell_length_a 3.713
_cell_length_b 7.148
_cell_length_c 7.401
_cell_angle_alpha 113.01
_cell_angle_beta 104.53
_cell_angle_gamma 90.00
loop_
_space_group_symop_operation_xyz
'x,y,z'
loop_
_atom_site_label
_atom_site_fract_x
_atom_site_fract_y
_atom_site_fract_z
_atom_site_occupancy
Ca1 0.135 0.581 0.270 1
Ca2 0.865 0.419 0.730 1
Tm1 0.000 0.000 0.000 1
Cu1 0.687 0.023 0.374 1
Cu2 0.313 0.977 0.626 1
S1 0.200 0.246 0.401 1
S2 0.800 0.754 0.599 1
S3 0.527 0.747 0.055 1
S4 0.473 0.253 0.945 1
```

Calculated values
raw formation energy: -1.334 eV per atom
symmetry: C2/m, No. 12
mass density: 4814 kg/m³
E_tot: -45.18 eV/cell